PaAlSbO6 | Alexandria via LeMat-Bulk | PBE-GGA | optimized geometry; total magnetization = 0.000 μB/atom; E_form (uncorrected) = -2.5525 eV per atom; SG = No. 163
1.0
5.2010 0.0000 0.0000
-2.6005 4.5042 0.0000
0.0000 0.0000 9.6886
Pa Al Sb O
2 2 2 12
Direct
0.0000 0.0000 0.0000
0.0000 0.0000 0.5000
0.3333 0.6667 0.2500
0.6667 0.3333 0.7500
0.3333 0.6667 0.7500
0.6667 0.3333 0.2500
0.0253 0.3597 0.1358
0.0253 0.6655 0.3642
0.3345 0.3597 0.3642
0.3345 0.9747 0.1358
0.3597 0.0253 0.6358
0.3597 0.3345 0.8642
0.6403 0.6655 0.1358
0.6403 0.9747 0.3642
0.6655 0.0253 0.8642
0.6655 0.6403 0.6358
0.9747 0.3345 0.6358
0.9747 0.6403 0.8642